Record 1
Below is crystalline SmTmB4 at its relaxed geometry, with properties calculated at the GGA-PBE level.

a b c (Å): 6.3294 6.3294 6.3294
angles (deg): 146.93 146.93 47.47
Last column: nearest neighbours and their distance in Å.
Positions (direct):
Sm: 0.0000 0.0000 0.0000  12 B 2.70-2.71
Tm: 0.2500 0.7500 0.5000  12 B 2.67-2.70
B: 0.4200 0.4200 0.0000  1 B 1.85
B: 0.5800 0.5800 0.0000  1 B 1.85
B: 0.6740 0.1740 0.5000  1 B 1.76
B: 0.8260 0.3260 0.5000  1 B 1.76

Summary:
**Density of states at the Fermi level**: 1.95 states/eV/f.u.
**Energy**: -6.326 eV per atom
**Magnetization**: 0.0 μB/f.u.
**Formation enthalpy at 0 K**: -0.34 eV per atom

=====

Record 2
Below is crystalline SmUB at its relaxed geometry, with properties calculated at the GGA-PBE level.

a b c (Å): 8.2384 8.2384 8.2384
angles (deg): 157.18 145.29 41.94
Last column: nearest neighbours and their distance in Å.
Positions (direct):
Sm: 0.1794 0.1794 0.0000  5 B 2.75-3.01
Sm: 0.8206 0.8206 0.0000  5 B 2.75-3.01
U: 0.2492 0.5000 0.7492  2 U 2.45-2.47, 2 B 2.51
U: 0.7508 0.5000 0.2508  2 U 2.45-2.47, 2 B 2.51
B: 0.3582 0.3582 0.0000  2 U 2.51, 1 Sm 2.75
B: 0.6418 0.6418 0.0000  2 U 2.51, 1 Sm 2.75

Summary:
**Density of states at the Fermi level**: 4.28 states/eV/f.u.
**Energy**: -7.024 eV per atom
**Magnetization**: 0.4 μB/f.u.
**Formation enthalpy at 0 K**: 0.54 eV per atom

=====

Record 3
Below is crystalline SmVB2 at its relaxed geometry, with properties calculated at the GGA-PBE level.

a b c (Å): 5.4250 5.4250 5.4250
angles (deg): 38.93 38.93 38.93
Last column: nearest neighbours and their distance in Å.
Positions (direct):
Sm: 0.0000 0.0000 0.0000  6 B 2.78
V: 0.5000 0.5000 0.5000  6 B 2.19
B: 0.2112 0.2112 0.2112  3 V 2.19
B: 0.7888 0.7888 0.7888  3 V 2.19

Summary:
**Density of states at the Fermi level**: 2.86 states/eV/f.u.
**Energy**: -6.754 eV per atom
**Magnetization**: 0.0 μB/f.u.
**Formation enthalpy at 0 K**: 0.04 eV per atom

=====

Record 4
Below is crystalline Sm2VB10 at its relaxed geometry, with properties calculated at the GGA-PBE level.

a b c (Å): 5.7570 11.4658 4.1824
angles (deg): 90.00 90.00 90.00
Last column: nearest neighbours and their distance in Å.
Positions (direct):
Sm: 0.2022 0.1387 0.0000  20 B 2.90-3.12, 2 V 3.14
Sm: 0.2978 0.6387 0.0000  20 B 2.90-3.12, 2 V 3.14
Sm: 0.7022 0.3613 0.0000  20 B 2.90-3.12, 2 V 3.14
Sm: 0.7978 0.8613 0.0000  20 B 2.90-3.12, 2 V 3.14
V: 0.0000 0.5000 0.5000  8 B 2.22-2.25
V: 0.5000 0.0000 0.5000  8 B 2.22-2.25
B: 0.0576 0.3083 0.5000  4 B 1.69-1.78
B: 0.1201 0.9579 0.5000  4 B 1.69-1.79
B: 0.1353 0.8022 0.5000  5 B 1.69-1.79
B: 0.2224 0.3817 0.2004  4 B 1.68-1.78
B: 0.2224 0.3817 0.7996  4 B 1.68-1.78
B: 0.2776 0.8817 0.2004  4 B 1.68-1.78
B: 0.2776 0.8817 0.7996  4 B 1.68-1.78
B: 0.3647 0.3022 0.5000  5 B 1.69-1.79
B: 0.3799 0.4579 0.5000  4 B 1.69-1.79
B: 0.4424 0.8083 0.5000  4 B 1.69-1.78
B: 0.5576 0.1917 0.5000  4 B 1.69-1.78
B: 0.6201 0.5421 0.5000  4 B 1.69-1.79
B: 0.6353 0.6978 0.5000  5 B 1.69-1.79
B: 0.7224 0.1183 0.2004  4 B 1.68-1.78
B: 0.7224 0.1183 0.7996  4 B 1.68-1.78
B: 0.7776 0.6183 0.2004  4 B 1.68-1.78
B: 0.7776 0.6183 0.7996  4 B 1.68-1.78
B: 0.8647 0.1978 0.5000  5 B 1.69-1.79
B: 0.8799 0.0421 0.5000  4 B 1.69-1.79
B: 0.9424 0.6917 0.5000  4 B 1.69-1.78

Summary:
**Density of states at the Fermi level**: 3.05 states/eV/f.u.
**Energy**: -6.970 eV per atom
**Magnetization**: 2.5 μB/f.u.
**Formation enthalpy at 0 K**: -0.41 eV per atom

=====

Record 5
Below is crystalline SmVB at its relaxed geometry, with properties calculated at the GGA-PBE level.

a b c (Å): 4.0444 4.0444 7.0615
angles (deg): 93.20 93.20 78.00
Last column: nearest neighbours and their distance in Å.
Positions (direct):
Sm: 0.2354 0.2354 0.3212  2 B 2.75, 3 V 2.88-3.07
Sm: 0.7646 0.7646 0.6788  2 B 2.75, 3 V 2.88-3.07
V: 0.3008 0.3008 0.9224  4 B 2.16-2.18
V: 0.6992 0.6992 0.0776  4 B 2.16-2.18
B: 0.1653 0.8347 0.0000  1 B 1.68
B: 0.8347 0.1653 0.0000  1 B 1.68

Summary:
**Density of states at the Fermi level**: 2.34 states/eV/f.u.
**Energy**: -6.897 eV per atom
**Magnetization**: 0.3 μB/f.u.
**Formation enthalpy at 0 K**: -0.06 eV per atom

=====

Record 6
Below is crystalline Sm2B10W at its relaxed geometry, with properties calculated at the GGA-PBE level.

a b c (Å): 5.8682 11.6731 4.1351
angles (deg): 90.00 90.00 90.00
Last column: nearest neighbours and their distance in Å.
Positions (direct):
Sm: 0.2036 0.1418 0.0000  20 B 2.89-3.22, 2 W 3.17
Sm: 0.2964 0.6418 0.0000  20 B 2.89-3.22, 2 W 3.17
Sm: 0.7036 0.3582 0.0000  20 B 2.89-3.22, 2 W 3.17
Sm: 0.7964 0.8582 0.0000  20 B 2.89-3.22, 2 W 3.17
B: 0.0686 0.3060 0.5000  4 B 1.69-1.81
B: 0.1174 0.9582 0.5000  4 B 1.69-1.83
B: 0.1231 0.8019 0.5000  5 B 1.69-1.83
B: 0.2322 0.3794 0.2019  4 B 1.67-1.78
B: 0.2322 0.3794 0.7981  4 B 1.67-1.78
B: 0.2678 0.8794 0.2019  4 B 1.67-1.78
B: 0.2678 0.8794 0.7981  4 B 1.67-1.78
B: 0.3769 0.3019 0.5000  5 B 1.69-1.83
B: 0.3826 0.4582 0.5000  4 B 1.69-1.83
B: 0.4314 0.8060 0.5000  4 B 1.69-1.81
B: 0.5686 0.1940 0.5000  4 B 1.69-1.81
B: 0.6174 0.5418 0.5000  4 B 1.69-1.83
B: 0.6231 0.6981 0.5000  5 B 1.69-1.83
B: 0.7322 0.1206 0.2019  4 B 1.67-1.78
B: 0.7322 0.1206 0.7981  4 B 1.67-1.78
B: 0.7678 0.6206 0.2019  4 B 1.67-1.78
B: 0.7678 0.6206 0.7981  4 B 1.67-1.78
B: 0.8769 0.1981 0.5000  5 B 1.69-1.83
B: 0.8826 0.0418 0.5000  4 B 1.69-1.83
B: 0.9314 0.6940 0.5000  4 B 1.69-1.81
W: 0.0000 0.5000 0.5000  8 B 2.30-2.31
W: 0.5000 0.0000 0.5000  8 B 2.30-2.31

Summary:
**Density of states at the Fermi level**: 2.67 states/eV/f.u.
**Energy**: -7.171 eV per atom
**Magnetization**: 0.0 μB/f.u.
**Formation enthalpy at 0 K**: -0.31 eV per atom

=====

Record 7
Below is crystalline SmB6W2 at its relaxed geometry, with properties calculated at the GGA-PBE level.

a b c (Å): 5.4054 5.4054 3.5519
angles (deg): 90.00 90.00 120.00
Last column: nearest neighbours and their distance in Å.
Positions (direct):
Sm: 0.0000 0.0000 0.0000  12 B 2.56
B: 0.0000 0.3420 0.5000  3 B 1.71-1.85
B: 0.0000 0.6580 0.5000  3 B 1.71-1.85
B: 0.3420 0.0000 0.5000  3 B 1.71-1.85
B: 0.3420 0.3420 0.5000  3 B 1.71-1.85
B: 0.6580 0.0000 0.5000  3 B 1.71-1.85
B: 0.6580 0.6580 0.5000  3 B 1.71-1.85
W: 0.3333 0.6667 0.0000  12 B 2.51
W: 0.6667 0.3333 0.0000  12 B 2.51

Summary:
**Density of states at the Fermi level**: 3.25 states/eV/f.u.
**Energy**: -8.047 eV per atom
**Magnetization**: 0.0 μB/f.u.
**Formation enthalpy at 0 K**: -0.19 eV per atom

=====

Record 8
Below is crystalline SmB3W at its relaxed geometry, with properties calculated at the GGA-PBE level.

a b c (Å): 6.8433 6.8433 3.2849
angles (deg): 90.00 90.00 123.04
Last column: nearest neighbours and their distance in Å.
Positions (direct):
Sm: 0.0000 0.0000 0.0000  12 B 2.70-2.79
Sm: 0.5000 0.5000 0.0000  8 B 2.80
B: 0.1130 0.3596 0.5000  1 B 1.72
B: 0.1870 0.8130 0.5000  2 B 1.72
B: 0.3596 0.1130 0.5000  1 B 1.72
B: 0.6404 0.8870 0.5000  1 B 1.72
B: 0.8130 0.1870 0.5000  2 B 1.72
B: 0.8870 0.6404 0.5000  1 B 1.72
W: 0.0000 0.5000 0.0000  8 B 2.24-2.44
W: 0.5000 0.0000 0.0000  8 B 2.24-2.44

Summary:
**Density of states at the Fermi level**: 1.87 states/eV/f.u.
**Energy**: -7.508 eV per atom
**Magnetization**: 0.0 μB/f.u.
**Formation enthalpy at 0 K**: 0.03 eV per atom

=====

Record 9
Below is crystalline Sm3B7W at its relaxed geometry, with properties calculated at the GGA-PBE level.

a b c (Å): 8.3782 8.3782 9.6265
angles (deg): 90.00 90.00 155.68
Last column: nearest neighbours and their distance in Å.
Positions (direct):
Sm: 0.1061 0.8939 0.5618  11 B 2.69-2.80
Sm: 0.1061 0.8939 0.9382  11 B 2.69-2.80
Sm: 0.2440 0.7560 0.2500  10 B 2.70-2.76
Sm: 0.7560 0.2440 0.7500  10 B 2.70-2.76
Sm: 0.8939 0.1061 0.0618  11 B 2.69-2.80
Sm: 0.8939 0.1061 0.4382  11 B 2.69-2.80
B: 0.2732 0.7268 0.5318  3 B 1.88-2.02
B: 0.2732 0.7268 0.9682  3 B 1.88-2.02
B: 0.3651 0.6349 0.6479  3 B 1.88-1.97
B: 0.3651 0.6349 0.8521  3 B 1.88-1.97
B: 0.4620 0.5380 0.2500  2 B 1.80
B: 0.4783 0.5217 0.5935  3 B 1.80-1.94
B: 0.4783 0.5217 0.9065  3 B 1.80-1.94
B: 0.5217 0.4783 0.0935  3 B 1.80-1.94
B: 0.5217 0.4783 0.4065  3 B 1.80-1.94
B: 0.5380 0.4620 0.7500  2 B 1.80
B: 0.6349 0.3651 0.1479  3 B 1.88-1.97
B: 0.6349 0.3651 0.3521  3 B 1.88-1.97
B: 0.7268 0.2732 0.0318  3 B 1.88-2.02
B: 0.7268 0.2732 0.4682  3 B 1.88-2.02
W: 0.0551 0.9449 0.2500  10 B 2.33-2.41
W: 0.9449 0.0551 0.7500  10 B 2.33-2.41

Summary:
**Density of states at the Fermi level**: 2.82 states/eV/f.u.
**Energy**: -7.177 eV per atom
**Magnetization**: 0.0 μB/f.u.
**Formation enthalpy at 0 K**: -0.46 eV per atom

=====

Record 10
Below is crystalline SmYB4 at its relaxed geometry, with properties calculated at the GGA-PBE level.

a b c (Å): 5.1637 5.1637 5.1637
angles (deg): 142.51 112.32 80.02
Last column: nearest neighbours and their distance in Å.
Positions (direct):
Sm: 0.0000 0.0000 0.0000  12 B 2.75-2.76
Y: 0.5000 0.5000 0.0000  12 B 2.75-2.76
B: 0.0842 0.7509 0.3333  3 B 1.92
B: 0.4177 0.7509 0.6667  3 B 1.92
B: 0.5823 0.2491 0.3333  3 B 1.92
B: 0.9158 0.2491 0.6667  3 B 1.92

Summary:
**Density of states at the Fermi level**: 2.69 states/eV/f.u.
**Energy**: -6.784 eV per atom
**Magnetization**: 0.0 μB/f.u.
**Formation enthalpy at 0 K**: -0.47 eV per atom

=====

Record 11
Below is crystalline SmY2B6 at its relaxed geometry, with properties calculated at the GGA-PBE level.

a b c (Å): 5.7304 5.7304 3.9356
angles (deg): 90.00 90.00 120.00
Last column: nearest neighbours and their distance in Å.
Positions (direct):
Sm: 0.0000 0.0000 0.0000  12 B 2.76
Y: 0.3333 0.6667 0.0000  12 B 2.74
Y: 0.6667 0.3333 0.0000  12 B 2.74
B: 0.0000 0.3365 0.5000  3 B 1.87-1.93
B: 0.0000 0.6635 0.5000  3 B 1.87-1.93
B: 0.3365 0.0000 0.5000  3 B 1.87-1.93
B: 0.3365 0.3365 0.5000  3 B 1.87-1.93
B: 0.6635 0.0000 0.5000  3 B 1.87-1.93
B: 0.6635 0.6635 0.5000  3 B 1.87-1.93

Summary:
**Density of states at the Fermi level**: 2.68 states/eV/f.u.
**Energy**: -6.916 eV per atom
**Magnetization**: 0.0 μB/f.u.
**Formation enthalpy at 0 K**: -0.50 eV per atom